Entry 1:
## LiLa2FePb (PBE)

Data for a geometry-optimized LiLa2FePb structure.

The crystal system is tetragonal. The calculation puts the offset from the most stable computed form at 0.712 eV/atom. The value obtained for the energy of formation from the pure elements is 0.65 eV per atom.

Structure (POSCAR):
```
LiLa2FePb
1.0
6.1455 0.0000 0.0000
0.0000 4.8250 0.0000
0.0000 0.0000 6.1455
La Pb Fe Li
2 1 1 1
direct
0.0000 0.0000 0.5000
0.5000 0.0000 0.0000
0.0000 0.0000 0.0000
0.5000 0.5000 0.5000
0.0000 0.5000 0.0000
```

Entry 2:
## LiLa2FePb (PBE)

Data for a geometry-optimized LiLa2FePb structure.

The crystal system is tetragonal. The calculation puts the offset from the most stable computed form at 0.000 eV/atom. The value obtained for the energy of formation from the pure elements is -0.06 eV per atom.

Structure (POSCAR):
```
LiLa2FePb
1.0
-0.9333 -4.3560 2.4598
4.9959 -0.9407 0.2296
0.2553 2.4298 4.3997
La Pb Li Fe
2 1 1 1
direct
0.0000 0.5000 0.0000
0.5000 0.0000 0.0000
0.5000 0.5000 0.5000
0.0000 0.0000 0.5000
0.0000 0.0000 0.0000
```

Entry 3:
## Li2LaFeS (PBE)

Data for a geometry-optimized Li2LaFeS structure.

The crystal system is tetragonal. The calculation puts the raw formation energy at -0.254 eV per atom.

Structure (POSCAR):
```
Li2LaFeS
1.0
-2.3722 -0.6791 -3.8263
-3.5005 -0.4505 2.2501
-0.7769 4.4752 -0.3126
S La Fe Li
1 1 1 2
direct
0.0000 0.5000 0.0000
0.5000 0.5000 0.5000
0.0000 0.0000 0.0000
0.5000 0.0000 0.0000
0.0000 0.0000 0.5000
```

Entry 4:
## SrLiLa2Fe (PBE)

Data for a geometry-optimized SrLiLa2Fe structure.

The crystal system is tetragonal. The calculation puts the offset from the most stable computed form at 0.024 eV/atom. The value obtained for the energy of formation from the pure elements is 0.17 eV per atom.

Structure (POSCAR):
```
SrLiLa2Fe
1.0
5.1601 0.0000 0.0000
0.0000 5.1601 0.0000
0.0000 0.0000 5.9049
Li Sr La Fe
1 1 2 1
direct
0.0000 0.0000 0.5000
0.5000 0.5000 0.5000
0.5000 0.0000 0.0000
0.0000 0.5000 0.0000
0.0000 0.0000 0.0000
```

Entry 5:
## SrLiLa2Fe (PBE)

Data for a geometry-optimized SrLiLa2Fe structure.

The crystal system is tetragonal. The calculation puts the offset from the most stable computed form at 0.000 eV/atom. The value obtained for the energy of formation from the pure elements is 0.15 eV per atom.

Structure (POSCAR):
```
SrLiLa2Fe
1.0
-2.7797 2.2829 -3.7187
-4.0926 -2.8934 1.2830
-1.8218 4.3703 4.0447
La Sr Fe Li
2 1 1 1
direct
0.5000 0.0000 0.0000
0.0000 0.5000 0.0000
0.0000 0.0000 0.5000
0.0000 0.0000 0.0000
0.5000 0.5000 0.5000
```

Entry 6:
## LiLaTa2Fe (PBE)

Data for a geometry-optimized LiLaTa2Fe structure.

The crystal system is tetragonal. The value obtained for the energy of formation from the pure elements is 0.72 eV per atom.

Structure (POSCAR):
```
LiLaTa2Fe
1.0
-4.6326 -0.3094 -0.0898
0.3684 -5.4646 -0.1824
-0.0793 -0.1602 4.6403
La Ta Fe Li
1 2 1 1
direct
0.0000 0.5000 0.0000
0.5000 0.0000 0.0000
0.0000 0.0000 0.5000
0.0000 0.0000 0.0000
0.5000 0.5000 0.5000
```

Entry 7:
## LiLaTbFe (PBE)

Data for a geometry-optimized LiLaTbFe structure.

The crystal system is cubic. The value obtained for the energy of formation from the pure elements is 0.14 eV per atom.

Structure (POSCAR):
```
LiLaTbFe
1.0
5.0185 0.0000 0.0000
2.5093 4.3462 0.0000
2.5093 1.4487 4.0976
Li Tb La Fe
1 1 1 1
direct
0.0000 0.0000 0.0000
0.2500 0.2500 0.2500
0.7500 0.7500 0.7500
0.5000 0.5000 0.5000
```

Entry 8:
## LiLa2TlFe (PBE)

Data for a geometry-optimized LiLa2TlFe structure.

The crystal system is tetragonal. The calculation puts the offset from the most stable computed form at 0.043 eV/atom. The value obtained for the energy of formation from the pure elements is 0.01 eV per atom.

Structure (POSCAR):
```
LiLa2TlFe
1.0
-3.2971 2.0269 3.2876
-3.6296 -0.1486 -3.5484
-1.3319 -4.6953 1.5590
Li La Tl Fe
1 2 1 1
direct
0.0000 0.0000 0.5000
0.0000 0.5000 0.0000
0.5000 0.0000 0.0000
0.5000 0.5000 0.5000
0.0000 0.0000 0.0000
```

Entry 9:
## LiLa2TlFe (PBE)

Data for a geometry-optimized LiLa2TlFe structure.

The crystal system is tetragonal. The calculation puts the offset from the most stable computed form at 0.000 eV/atom. The value obtained for the energy of formation from the pure elements is -0.03 eV per atom.

Structure (POSCAR):
```
LiLa2TlFe
1.0
-0.5391 4.2825 -2.8849
-5.1490 -0.6633 -0.0225
-0.3898 2.8779 4.3450
La Fe Li Tl
2 1 1 1
direct
0.5000 0.0000 0.0000
0.0000 0.5000 0.0000
0.0000 0.0000 0.0000
0.5000 0.5000 0.5000
0.0000 0.0000 0.5000
```

Entry 10:
## LiLaY2Fe (PBE)

Data for a geometry-optimized LiLaY2Fe structure.

The crystal system is tetragonal. The value obtained for the energy of formation from the pure elements is 0.11 eV per atom.

Structure (POSCAR):
```
LiLaY2Fe
1.0
-3.9892 -3.1819 -1.5975
3.5177 -3.8930 -1.0301
-0.5288 -1.7493 4.8049
Li Y Fe La
1 2 1 1
direct
0.5000 0.5000 0.5000
0.0000 0.5000 0.0000
0.5000 0.0000 0.0000
0.0000 0.0000 0.0000
0.0000 0.0000 0.5000
```

Entry 11:
## LiLaYFe (PBE)

Data for a geometry-optimized LiLaYFe structure.

The crystal system is cubic. The value obtained for the energy of formation from the pure elements is 0.14 eV per atom.

Structure (POSCAR):
```
LiLaYFe
1.0
-3.8454 1.8639 2.6432
-4.4980 -2.2311 -0.1945
-1.7426 -2.4935 3.9991
La Li Fe Y
1 1 1 1
direct
0.2500 0.2500 0.2500
0.0000 0.0000 0.0000
0.5000 0.5000 0.5000
0.7500 0.7500 0.7500
```

Entry 12:
## LiLa2YFe (PBE)

Data for a geometry-optimized LiLa2YFe structure.

The crystal system is tetragonal. The value obtained for the energy of formation from the pure elements is 0.09 eV per atom.

Structure (POSCAR):
```
LiLa2YFe
1.0
5.2577 0.0000 0.0000
0.0000 5.2577 0.0000
0.0000 0.0000 5.4865
Y La Fe Li
1 2 1 1
direct
0.0000 0.0000 0.5000
0.0000 0.5000 0.0000
0.5000 0.0000 0.0000
0.0000 0.0000 0.0000
0.5000 0.5000 0.5000
```

Entry 13:
## La3LuFe (PBE)

Data for a geometry-optimized La3LuFe structure.

The crystal system is cubic. The value obtained for the energy of formation from the pure elements is 0.13 eV per atom.

Structure (POSCAR):
```
La3LuFe
1.0
5.4096 0.0000 0.0000
0.0000 5.4096 0.0000
0.0000 0.0000 5.4096
Lu Fe La
1 1 3
direct
0.5000 0.5000 0.5000
0.0000 0.0000 0.0000
0.5000 0.0000 0.0000
0.0000 0.0000 0.5000
0.0000 0.5000 0.0000
```

Entry 14:
## LaLu2Fe (PBE)

Data for a geometry-optimized LaLu2Fe structure.

The crystal system is tetragonal. The value obtained for the energy of formation from the pure elements is 0.01 eV per atom.

Structure (POSCAR):
```
LaLu2Fe
1.0
-0.1241 2.2539 2.4334
-0.3548 -2.4302 2.2328
9.0697 -0.4858 0.9126
La Fe Lu
1 1 2
direct
0.5000 0.5000 0.5000
0.5000 0.5000 0.0000
0.0000 0.0000 0.1702
0.0000 0.0000 0.8298
```

Entry 15:
## LaLu3Fe (PBE)

Data for a geometry-optimized LaLu3Fe structure.

The crystal system is cubic. The value obtained for the energy of formation from the pure elements is 0.03 eV per atom.

Structure (POSCAR):
```
LaLu3Fe
1.0
-2.0690 -3.9889 2.6261
4.2469 -0.2276 3.0002
-2.1845 3.3355 3.3453
Lu Fe La
3 1 1
direct
0.0000 0.0000 0.5000
0.0000 0.5000 0.0000
0.5000 0.0000 0.0000
0.0000 0.0000 0.0000
0.5000 0.5000 0.5000
```

Entry 16:
## LaLuFe (PBE)

Data for a geometry-optimized LaLuFe structure.

The crystal system is tetragonal. The value obtained for the energy of formation from the pure elements is 0.09 eV per atom.

Structure (POSCAR):
```
LaLuFe
1.0
-0.5982 -2.6718 1.9266
2.4436 0.9531 2.0805
-5.2599 4.3503 1.4911
Fe Lu La
1 1 1
direct
0.6606 0.6606 0.3212
0.0455 0.0455 0.0909
0.2940 0.2940 0.5879
```

Entry 17:
## La2MgFe (PBE)

Data for a geometry-optimized La2MgFe structure.

The crystal system is cubic. The value obtained for the energy of formation from the pure elements is 0.28 eV per atom.

Structure (POSCAR):
```
La2MgFe
1.0
-0.6827 -5.1214 -0.4209
3.7220 -2.9488 -2.0792
2.7241 -3.2331 2.9997
Fe La Mg
1 2 1
direct
0.5000 0.5000 0.5000
0.0000 0.0000 0.0000
0.2500 0.2500 0.2500
0.7500 0.7500 0.7500
```

Entry 18:
## La2MgFe (PBE)

Data for a geometry-optimized La2MgFe structure.

The crystal system is tetragonal. The value obtained for the energy of formation from the pure elements is 0.22 eV per atom.

Structure (POSCAR):
```
La2MgFe
1.0
-0.8050 0.2104 3.3810
3.3303 -0.5845 0.8311
1.5519 8.6062 -0.1661
Mg La Fe
1 2 1
direct
0.0000 0.0000 0.5630
0.0000 0.0000 0.9318
0.5000 0.5000 0.2832
0.5000 0.5000 0.7220
```

Entry 19:
## La6MgFe2 (PBE)

Data for a geometry-optimized La6MgFe2 structure.

The crystal system is orthorhombic. The value obtained for the energy of formation from the pure elements is 0.03 eV per atom.

Structure (POSCAR):
```
La6MgFe2
1.0
8.3562 0.0463 -2.9792
-4.4232 7.2443 -2.5806
-0.0270 -0.0463 8.8714
La Fe Mg
12 4 2
direct
0.8934 0.7079 0.1855
0.2166 0.7775 0.9940
0.3033 0.6147 0.3114
0.7834 0.7775 0.5609
0.1066 0.2921 0.8145
0.5224 0.7079 0.8145
0.6967 0.3853 0.6886
0.3033 0.9919 0.6886
0.2166 0.2225 0.4391
0.4776 0.2921 0.1855
0.6967 0.0081 0.3114
0.7834 0.2225 0.0060
0.5000 0.6061 0.1061
0.3849 0.0000 0.3849
0.5000 0.3939 0.8939
0.6151 0.0000 0.6151
0.0000 0.5000 0.5000
0.0000 0.0000 0.0000
```

Entry 20:
## La2MgFe (PBE)

Data for a geometry-optimized La2MgFe structure.

The crystal system is orthorhombic. The value obtained for the energy of formation from the pure elements is 0.17 eV per atom.

Structure (POSCAR):
```
La2MgFe
1.0
6.4345 -0.2346 -0.0079
3.5130 5.3960 0.0079
-4.4162 -3.6552 2.9317
La Mg Fe
2 1 1
direct
0.2545 0.7545 0.5000
0.9414 0.9414 0.0000
0.5588 0.5588 0.0000
0.7452 0.2452 0.5000
```

Taking the records one at a time from the top gives theoretical density values of 4992 6980 4607 4523 4266 7919 6700 6849 6424 4288 5379 4703 6792 8994 8476 8333 6035 5606 5999 5698 kg/m³.